1.
A plane-wave DFT calculation with PBE was carried out for a relaxed La5CeSn3 crystal.

Density in g cm⁻³: 6.9
Energy in eV for the cell shown: -92.5
Offset from the most stable computed form in kJ/mol of formula units: 158
E_form in eV per formula unit: -3.7

POSCAR file:
```
La5CeSn3
1.0
-4.3031 4.3031 7.6881
4.3031 -4.3031 7.6881
4.3031 4.3031 -7.6881
La Ce Sn
10 2 6
direct
0.0000 0.0000 0.0000
0.0492 0.5492 0.8780
0.1713 0.0492 0.5000
0.3287 0.8287 0.8780
0.4508 0.3287 0.5000
0.5000 0.5000 0.0000
0.5492 0.6713 0.5000
0.6713 0.1713 0.1220
0.8287 0.9508 0.5000
0.9508 0.4508 0.1220
0.2500 0.7500 0.5000
0.7500 0.2500 0.5000
0.1185 0.3815 0.5000
0.2500 0.2500 0.0000
0.3815 0.8815 0.2630
0.6185 0.1185 0.7370
0.7500 0.7500 0.0000
0.8815 0.6185 0.5000
```



2.
A plane-wave DFT calculation with PBE was carried out for a relaxed PbW2Cl crystal.

Raw formation energy in eV/atom: 1.51
Density in g cm⁻³: 13.5
Energy in eV for the cell shown: -25.4
Offset from the most stable computed form in kJ/mol of formula units: 503

POSCAR file:
```
PbW2Cl
1.0
2.9057 0.0000 0.0000
0.0000 2.9057 0.0000
0.0000 0.0000 8.9177
Pb W Cl
1 2 1
direct
0.0000 0.0000 0.0000
0.5000 0.5000 0.2677
0.5000 0.5000 0.7323
0.0000 0.0000 0.5000
```



3.
A plane-wave DFT calculation with PBE was carried out for a relaxed CaSc2Br crystal.

Raw formation energy in eV/atom: -0.03
Density in g cm⁻³: 3.1
Energy in eV for the cell shown: -16.5
Offset from the most stable computed form in kJ/mol of formula units: 163

POSCAR file:
```
CaSc2Br
1.0
3.0451 -5.2485 0.0000
3.0451 5.2485 0.0000
0.0000 0.0000 3.5208
Ca Sc Br
1 2 1
direct
0.0000 0.0000 0.0000
0.0000 0.5000 0.5000
0.5000 0.0000 0.5000
0.5000 0.5000 0.0000
```



4.
A plane-wave DFT calculation with PBE was carried out for a relaxed Rb3ErI6 crystal.

Raw formation energy in eV/atom: -1.47
Density in g cm⁻³: 3.9
Energy in eV for the cell shown: -62.8

POSCAR file:
```
Rb3ErI6
1.0
8.6840 0.0000 0.0000
0.0000 9.2829 0.0000
-8.4631 0.0000 12.4403
Rb Er I
6 2 12
direct
0.0000 0.0000 0.0000
0.0000 0.5000 0.5000
0.2109 0.0844 0.7454
0.2109 0.4156 0.2454
0.7891 0.5844 0.7546
0.7891 0.9156 0.2546
0.5000 0.0000 0.5000
0.5000 0.5000 0.0000
0.1615 0.1738 0.4430
0.1615 0.3262 0.9430
0.2678 0.7261 0.4275
0.2678 0.7739 0.9275
0.4062 0.0476 0.2760
0.4062 0.4524 0.7760
0.5938 0.5476 0.2240
0.5938 0.9524 0.7240
0.7322 0.2261 0.0725
0.7322 0.2739 0.5725
0.8385 0.6738 0.0570
0.8385 0.8262 0.5570
```



5.
A plane-wave DFT calculation with PBE was carried out for a relaxed Pr8Er6In crystal.

Density in g cm⁻³: 7.5
Energy in eV for the cell shown: -67.2
E_form in eV per formula unit: 1.2

POSCAR file:
```
Pr8Er6In
1.0
9.3461 0.0000 0.0000
-4.6730 8.0939 0.0000
0.0000 0.0000 6.6132
Pr Er In
8 6 1
direct
0.0428 0.7668 0.3226
0.2332 0.2760 0.3226
0.2760 0.0428 0.6774
0.3333 0.6667 0.3618
0.6667 0.3333 0.6382
0.7240 0.9572 0.3226
0.7668 0.7240 0.6774
0.9572 0.2332 0.6774
0.0996 0.6535 0.8405
0.3465 0.4461 0.8405
0.4461 0.0996 0.1595
0.5539 0.9004 0.8405
0.6535 0.5539 0.1595
0.9004 0.3465 0.1595
0.0000 0.0000 0.0000
```



6.
A plane-wave DFT calculation with PBE was carried out for a relaxed Cs2K2H crystal.

Density in g cm⁻³: 1.7
Energy in eV for the cell shown: -12.9
Offset from the most stable computed form in kJ/mol of formula units: 45

POSCAR file:
```
Cs2K2H
1.0
8.6793 0.0000 0.0000
0.0000 8.6793 0.0000
0.0000 0.0000 8.8398
Cs K H
4 4 2
direct
0.1869 0.3131 0.0000
0.3131 0.8131 0.0000
0.6869 0.1869 0.0000
0.8131 0.6869 0.0000
0.2108 0.7108 0.5000
0.2892 0.2108 0.5000
0.7108 0.7892 0.5000
0.7892 0.2892 0.5000
0.0000 0.0000 0.5000
0.5000 0.5000 0.5000
```



7.
A plane-wave DFT calculation with PBE was carried out for a relaxed La4Er4Mg crystal.

Density in g cm⁻³: 7.0
Energy in eV for the cell shown: -78.9
E_form in eV per formula unit: 0.1

POSCAR file:
```
La4Er4Mg
1.0
6.7724 0.0000 0.0000
1.9280 8.3245 0.0000
2.7762 -0.5259 10.5098
La Er Mg
8 8 2
direct
0.0493 0.1881 0.1676
0.2682 0.4665 0.6151
0.3887 0.8533 0.9386
0.4066 0.8584 0.6021
0.5934 0.1416 0.3979
0.6113 0.1467 0.0614
0.7318 0.5335 0.3849
0.9507 0.8119 0.8324
0.0390 0.1924 0.4961
0.0630 0.1970 0.8211
0.2719 0.4713 0.9577
0.2841 0.4873 0.2802
0.7159 0.5127 0.7198
0.7281 0.5287 0.0423
0.9370 0.8030 0.1789
0.9610 0.8076 0.5039
0.3868 0.8539 0.2691
0.6132 0.1461 0.7309
```



8.
A plane-wave DFT calculation with PBE was carried out for a relaxed Rb4NaSc2 crystal.

Density in g cm⁻³: 1.5
Energy in eV for the cell shown: -12.8
E_form in eV per formula unit: 5.1

POSCAR file:
```
Rb4NaSc2
1.0
-3.6925 3.6925 9.2984
3.6925 -3.6925 9.2984
3.6925 3.6925 -9.2984
Rb Na Sc
4 1 2
direct
0.0000 0.5000 0.5000
0.2077 0.2077 0.0000
0.5000 0.0000 0.5000
0.7923 0.7923 0.0000
0.0000 0.0000 0.0000
0.4267 0.4267 0.0000
0.5733 0.5733 0.0000
```



9.
A plane-wave DFT calculation with PBE was carried out for a relaxed Pr8Sm4Dy crystal.

Density in g cm⁻³: 6.5
Energy in eV for the cell shown: -56.5
E_form in eV per formula unit: 5.2

POSCAR file:
```
Pr8Sm4Dy
1.0
5.9635 3.4430 3.9351
-5.9635 3.4430 3.9351
0.0000 -6.8861 3.9351
Pr Sm Dy
8 4 1
direct
0.1682 0.1682 0.6693
0.1682 0.6693 0.1682
0.2435 0.2435 0.2435
0.3307 0.8318 0.8318
0.6693 0.1682 0.1682
0.7565 0.7565 0.7565
0.8318 0.3307 0.8318
0.8318 0.8318 0.3307
0.0000 0.0000 0.0000
0.0000 0.5000 0.5000
0.5000 0.0000 0.5000
0.5000 0.5000 0.0000
0.5000 0.5000 0.5000
```



10.
A plane-wave DFT calculation with PBE was carried out for a relaxed Si2HBr crystal.

Density in g cm⁻³: 3.0
Energy in eV for the cell shown: -26.3
Offset from the most stable computed form in kJ/mol of formula units: 0

POSCAR file:
```
Si2HBr
1.0
-2.4072 2.4072 6.5674
2.4072 -2.4072 6.5674
2.4072 2.4072 -6.5674
Si H Br
4 2 2
direct
0.3750 0.1857 0.3107
0.8143 0.1250 0.1893
0.8750 0.0643 0.6893
0.9357 0.6250 0.8107
0.0000 0.0000 0.0000
0.7500 0.2500 0.5000
0.2500 0.7500 0.5000
0.5000 0.5000 0.0000
```



11.
A plane-wave DFT calculation with PBE was carried out for a relaxed RbTb4S6 crystal.

Raw formation energy in eV/atom: -1.64
Density in g cm⁻³: 5.4
Energy in eV for the cell shown: -62.3
Offset from the most stable computed form in kJ/mol of formula units: 329

POSCAR file:
```
RbTb4S6
1.0
-3.8450 3.8450 4.7737
3.8450 -3.8450 4.7737
3.8450 3.8450 -4.7737
Rb Tb S
1 4 6
direct
0.0000 0.0000 0.0000
0.2007 0.5845 0.0000
0.4155 0.4155 0.6163
0.5845 0.2007 0.0000
0.7993 0.7993 0.3837
0.0000 0.5000 0.5000
0.1696 0.1696 0.7023
0.4673 0.4673 0.2977
0.5000 0.0000 0.5000
0.5327 0.8304 0.0000
0.8304 0.5327 0.0000
```



12.
A plane-wave DFT calculation with PBE was carried out for a relaxed Cu7Ag crystal.

Density in g cm⁻³: 9.0
Energy in eV for the cell shown: -30.9
E_form in eV per formula unit: 0.6

POSCAR file:
```
Cu7Ag
1.0
0.0000 3.7100 3.7100
3.7100 0.0000 3.7100
3.7100 3.7100 0.0000
Cu Ag
7 1
direct
0.0000 0.0000 0.0000
0.0000 0.0000 0.5000
0.0000 0.5000 0.0000
0.0000 0.5000 0.5000
0.5000 0.0000 0.0000
0.5000 0.0000 0.5000
0.5000 0.5000 0.0000
0.5000 0.5000 0.5000
```



13.
A plane-wave DFT calculation with PBE was carried out for a relaxed MnAg crystal.

Density in g cm⁻³: 8.1
Energy in eV for the cell shown: -11.2
E_form in eV per formula unit: 0.8

POSCAR file:
```
MnAg
1.0
2.9006 0.0000 0.0000
-1.4503 2.5120 0.0000
0.0000 0.0000 4.5786
Mn Ag
1 1
direct
0.0000 0.0000 0.0000
0.3333 0.6667 0.5000
```



14.
A plane-wave DFT calculation with PBE was carried out for a relaxed LaPm2PrHo crystal.

Density in g cm⁻³: 6.7
Energy in eV for the cell shown: -45.0
E_form in eV per formula unit: 1.3

POSCAR file:
```
LaPm2PrHo
1.0
9.1105 0.0000 0.0000
0.0000 6.5037 0.0000
-2.1020 0.0000 6.1397
La Pm Pr Ho
2 4 2 2
direct
0.0000 0.0000 0.0000
0.0000 0.0000 0.5000
0.3165 0.3246 0.1614
0.3165 0.6754 0.6614
0.6835 0.3246 0.3386
0.6835 0.6754 0.8386
0.5000 0.1618 0.7500
0.5000 0.8382 0.2500
0.0000 0.4891 0.7500
0.0000 0.5109 0.2500
```



15.
A plane-wave DFT calculation with PBE was carried out for a relaxed La2Ho3ErTm6 crystal.

Density in g cm⁻³: 8.6
Energy in eV for the cell shown: -54.7
E_form in eV per formula unit: 0.3

POSCAR file:
```
La2Ho3ErTm6
1.0
3.0715 -5.3171 0.0000
3.0715 5.3171 0.0000
-2.0427 0.0000 11.5183
La Ho Er Tm
2 3 1 6
direct
0.1664 0.8336 0.0000
0.8336 0.1664 0.0000
0.0000 0.0000 0.5000
0.3335 0.6665 0.5000
0.6665 0.3335 0.5000
0.5000 0.5000 0.0000
0.0829 0.4149 0.7456
0.2532 0.2532 0.2546
0.4149 0.0829 0.7456
0.5851 0.9171 0.2544
0.7468 0.7468 0.7454
0.9171 0.5851 0.2544
```



16.
A plane-wave DFT calculation with PBE was carried out for a relaxed PrHSe crystal.

Density in g cm⁻³: 5.6
Energy in eV for the cell shown: -28.5

POSCAR file:
```
PrHSe
1.0
-2.2503 2.2503 6.4616
2.2503 -2.2503 6.4616
2.2503 2.2503 -6.4616
Pr H Se
2 2 2
direct
0.1488 0.1488 0.0000
0.8512 0.8512 0.0000
0.2500 0.7500 0.5000
0.7500 0.2500 0.5000
0.0000 0.5000 0.5000
0.5000 0.0000 0.5000
```



17.
A plane-wave DFT calculation with PBE was carried out for a relaxed Sr3SnTe6Pb2 crystal.

Raw formation energy in eV/atom: -1.03
Density in g cm⁻³: 5.9
Energy in eV for the cell shown: -47.6

POSCAR file:
```
Sr3SnTe6Pb2
1.0
10.2347 -2.3406 0.0000
10.2347 2.3406 0.0000
-2.1997 0.0000 9.1365
Sr Sn Te Pb
3 1 6 2
direct
0.0000 0.0000 0.0000
0.3326 0.3326 0.6678
0.6674 0.6674 0.3322
0.0000 0.0000 0.5000
0.1637 0.1637 0.5832
0.1676 0.1676 0.0797
0.4996 0.4996 0.2572
0.5004 0.5004 0.7428
0.8324 0.8324 0.9203
0.8363 0.8363 0.4168
0.3343 0.3343 0.1688
0.6657 0.6657 0.8312
```



18.
A plane-wave DFT calculation with PBE was carried out for a relaxed BSbTe2I crystal.

Raw formation energy in eV/atom: 0.70
Density in g cm⁻³: 6.8
Energy in eV for the cell shown: -15.1
Offset from the most stable computed form in kJ/mol of formula units: 0

POSCAR file:
```
BSbTe2I
1.0
4.9260 0.0000 0.0000
0.0000 4.9260 0.0000
0.0000 0.0000 5.1770
B Sb Te I
1 1 2 1
direct
0.0000 0.0000 0.0000
0.5000 0.5000 0.5000
0.0000 0.5000 0.0000
0.5000 0.0000 0.0000
0.0000 0.0000 0.5000
```



19.
A plane-wave DFT calculation with PBE was carried out for a relaxed LuPaZnFe crystal.

Density in g cm⁻³: 11.1
Energy in eV for the cell shown: -23.7
E_form in eV per formula unit: 0.0

POSCAR file:
```
LuPaZnFe
1.0
0.0000 3.4032 3.4032
3.4032 0.0000 3.4032
3.4032 3.4032 0.0000
Lu Pa Zn Fe
1 1 1 1
direct
0.0000 0.0000 0.0000
0.5000 0.5000 0.5000
0.7500 0.7500 0.7500
0.2500 0.2500 0.2500
```



20.
A plane-wave DFT calculation with PBE was carried out for a relaxed BaMnGe3 crystal.

Density in g cm⁻³: 3.8
Energy in eV for the cell shown: -14.2
E_form in eV per formula unit: 10.7

POSCAR file:
```
BaMnGe3
1.0
5.6410 0.0000 0.0000
0.0000 5.6410 0.0000
0.0000 0.0000 5.6410
Ba Mn Ge
1 1 3
direct
0.0000 0.0000 0.0000
0.5000 0.5000 0.5000
0.0000 0.0000 0.5000
0.0000 0.5000 0.0000
0.5000 0.0000 0.0000
```



21.
A plane-wave DFT calculation with PBE was carried out for a relaxed K2YFe crystal.

Density in g cm⁻³: 2.3
Energy in eV for the cell shown: -16.8
Offset from the most stable computed form in kJ/mol of formula units: 647
E_form in eV per formula unit: 8.7

POSCAR file:
```
K2YFe
1.0
-3.7155 3.7155 5.9205
3.7155 -3.7155 5.9205
3.7155 3.7155 -5.9205
K Y Fe
4 2 2
direct
0.3750 0.1268 0.2518
0.8732 0.1250 0.2482
0.8750 0.1232 0.7482
0.8768 0.6250 0.7518
0.2500 0.7500 0.5000
0.5000 0.5000 0.0000
0.0000 0.0000 0.0000
0.7500 0.2500 0.5000
```



22.
A plane-wave DFT calculation with PBE was carried out for a relaxed Ac4HoSe5 crystal.

Raw formation energy in eV/atom: -1.79
Density in g cm⁻³: 8.1
Energy in eV for the cell shown: -56.3

POSCAR file:
```
Ac4HoSe5
1.0
-2.2012 2.2012 15.5257
2.2012 -2.2012 15.5257
2.2012 2.2012 -15.5257
Ac Ho Se
4 1 5
direct
0.0997 0.0997 0.0000
0.3046 0.3046 0.0000
0.6954 0.6954 0.0000
0.9003 0.9003 0.0000
0.5000 0.5000 0.0000
0.0000 0.0000 0.0000
0.2023 0.2023 0.0000
0.4074 0.4074 0.0000
0.5926 0.5926 0.0000
0.7977 0.7977 0.0000
```